CaTe2BrN | PBE | relaxed

a = 5.954 Å, b = 5.954 Å, c = 3.768 Å
α = 90.00°, β = 90.00°, γ = 90.00°
Positions (direct):
Ca 0.000 0.000 0.000
Te 0.000 0.500 0.500
Te 0.500 0.000 0.500
Br 0.500 0.500 0.500
N 0.500 0.500 0.000

## Properties
Total magnetization (μB/f.u.): 0.0
SG: P4/mmm (123)
Formation energy from raw total energies (eV/atom): 0.62
DFT total energy (eV/cell): -15.16
Offset from the most stable computed form (eV per formula unit): 0.00